# 1
Ho3ErB: optimized geometry, PBE.

Values from the calculation:
VASP energy: -4.928 eV/atom
Formation energy: 0.066 eV/atom
DOS(E_F): 5.82 states/eV per cell
M_tot: 0.0 Bohr magnetons per cell

```
Ho3ErB
1.0
5.130 0.000 0.000
0.000 5.130 0.000
0.000 0.000 5.130
Ho Er B
3 1 1
direct
0.000 0.000 0.500
0.000 0.500 0.000
0.500 0.000 0.000
0.500 0.500 0.500
0.000 0.000 0.000
```

---

# 2
HoEr3B: optimized geometry, PBE.

Values from the calculation:
VASP energy: -4.933 eV/atom
Formation energy: 0.056 eV/atom
DOS(E_F): 5.57 states/eV per cell
M_tot: 0.0 Bohr magnetons per cell

```
HoEr3B
1.0
5.110 0.000 0.000
0.000 5.110 0.000
0.000 0.000 5.110
Ho Er B
1 3 1
direct
0.000 0.000 0.000
0.000 0.500 0.500
0.500 0.000 0.500
0.500 0.500 0.000
0.500 0.500 0.500
```

---

# 3
Er4B2I5: optimized geometry, PBE.

Values from the calculation:
VASP energy: -4.489 eV/atom
Energy relative to the elements, uncorrected: -10.02 eV per formula unit
DOS(E_F): 4.37 states/eV per cell
M_tot: 0.0 Bohr magnetons per cell

```
Er4B2I5
1.0
-1.981 4.229 10.993
1.981 -4.229 10.993
1.981 4.229 -10.993
Er B I
4 2 5
direct
0.140 0.140 0.000
0.186 0.500 0.686
0.814 0.500 0.314
0.860 0.860 0.000
0.036 0.036 0.000
0.964 0.964 0.000
0.110 0.345 0.765
0.420 0.655 0.765
0.500 0.000 0.500
0.580 0.345 0.235
0.890 0.655 0.235
```

---

# 4
Er3BI3: optimized geometry, PBE.

Values from the calculation:
VASP energy: -4.512 eV/atom
Energy relative to the elements, uncorrected: -6.57 eV per formula unit
DOS(E_F): 9.53 states/eV per cell
M_tot: 0.0 Bohr magnetons per cell

```
Er3BI3
1.0
-5.840 5.840 5.840
5.840 -5.840 5.840
5.840 5.840 -5.840
Er B I
12 4 12
direct
0.028 0.055 0.278
0.028 0.472 0.750
0.055 0.278 0.028
0.222 0.278 0.750
0.222 0.445 0.472
0.278 0.028 0.055
0.278 0.750 0.222
0.445 0.472 0.222
0.472 0.222 0.445
0.472 0.750 0.028
0.750 0.028 0.472
0.750 0.222 0.278
0.000 0.250 0.500
0.250 0.250 0.250
0.250 0.500 0.000
0.500 0.000 0.250
0.250 0.759 0.741
0.250 0.991 0.509
0.509 0.250 0.991
0.509 0.759 0.517
0.517 0.509 0.759
0.741 0.250 0.759
0.741 0.991 0.983
0.759 0.517 0.509
0.759 0.741 0.250
0.983 0.741 0.991
0.991 0.509 0.250
0.991 0.983 0.741
```

---

# 5
ErBI: optimized geometry, PBE.

Values from the calculation:
VASP energy: -4.842 eV/atom
Energy relative to the elements, uncorrected: -1.74 eV per formula unit
DOS(E_F): 3.17 states/eV per cell
M_tot: 0.0 Bohr magnetons per cell

```
ErBI
1.0
6.600 0.000 0.000
0.000 5.002 0.000
-0.885 0.000 10.814
Er B I
4 4 4
direct
0.166 0.000 0.371
0.334 0.500 0.629
0.666 0.500 0.371
0.834 0.000 0.629
0.000 0.349 0.500
0.000 0.651 0.500
0.500 0.151 0.500
0.500 0.849 0.500
0.222 0.000 0.808
0.278 0.500 0.192
0.722 0.500 0.808
0.778 0.000 0.192
```

---

# 6
Er4BI5: optimized geometry, PBE.

Values from the calculation:
VASP energy: -4.324 eV/atom
Offset from the most stable computed form: 0 meV/atom
Energy relative to the elements, uncorrected: -10.56 eV per formula unit
DOS(E_F): 5.17 states/eV per cell
M_tot: 0.0 Bohr magnetons per cell

```
Er4BI5
1.0
9.508 -2.011 0.000
9.508 2.011 0.000
-1.859 0.000 8.379
Er B I
4 1 5
direct
0.001 0.001 0.307
0.367 0.367 0.433
0.633 0.633 0.567
0.999 0.999 0.693
0.500 0.500 0.500
0.165 0.165 0.840
0.171 0.171 0.326
0.500 0.500 0.000
0.829 0.829 0.674
0.835 0.835 0.160
```

---

# 7
Er4BI5: optimized geometry, PBE.

Values from the calculation:
VASP energy: -4.313 eV/atom
Offset from the most stable computed form: 11 meV/atom
Energy relative to the elements, uncorrected: -10.45 eV per formula unit
DOS(E_F): 5.32 states/eV per cell
M_tot: 0.0 Bohr magnetons per cell

```
Er4BI5
1.0
10.697 -2.008 0.000
10.697 2.008 0.000
-0.037 0.000 8.516
Er B I
4 1 5
direct
0.000 0.000 0.195
0.000 0.000 0.805
0.386 0.386 0.999
0.614 0.614 0.001
0.500 0.500 0.000
0.148 0.148 0.257
0.148 0.148 0.747
0.500 0.500 0.500
0.852 0.852 0.253
0.852 0.852 0.743
```

---

# 8
ErInB: optimized geometry, PBE.

Values from the calculation:
VASP energy: -4.962 eV/atom
Formation energy: -0.302 eV/atom
DOS(E_F): 6.67 states/eV per cell
M_tot: 0.0 Bohr magnetons per cell

```
ErInB
1.0
3.458 0.000 0.000
0.000 22.337 0.000
0.000 0.000 3.203
Er In B
4 4 4
direct
0.000 0.071 0.250
0.000 0.929 0.750
0.500 0.429 0.750
0.500 0.571 0.250
0.000 0.300 0.750
0.000 0.700 0.250
0.500 0.200 0.250
0.500 0.800 0.750
0.000 0.485 0.250
0.000 0.515 0.750
0.500 0.015 0.750
0.500 0.985 0.250
```

---

# 9
Er4In2B: optimized geometry, PBE.

Values from the calculation:
VASP energy: -4.582 eV/atom
Formation energy: -0.238 eV/atom
DOS(E_F): 12.47 states/eV per cell
M_tot: 0.0 Bohr magnetons per cell

```
Er4In2B
1.0
4.987 0.000 0.000
0.000 4.987 0.000
0.000 0.000 15.158
Er In B
8 4 2
direct
0.000 0.000 0.168
0.000 0.000 0.832
0.000 0.500 0.000
0.000 0.500 0.500
0.500 0.000 0.000
0.500 0.000 0.500
0.500 0.500 0.332
0.500 0.500 0.668
0.000 0.000 0.371
0.000 0.000 0.629
0.500 0.500 0.129
0.500 0.500 0.871
0.000 0.000 0.000
0.500 0.500 0.500
```

---

# 10
Er2InB2Rh5: optimized geometry, PBE.

Values from the calculation:
VASP energy: -7.016 eV/atom
Formation energy: -0.819 eV/atom
DOS(E_F): 5.99 states/eV per cell
M_tot: 0.0 Bohr magnetons per cell

```
Er2InB2Rh5
1.0
9.625 0.000 0.000
0.000 9.625 0.000
0.000 0.000 3.218
Er In B Rh
4 2 4 10
direct
0.176 0.324 0.000
0.324 0.824 0.000
0.676 0.176 0.000
0.824 0.676 0.000
0.000 0.000 0.000
0.500 0.500 0.000
0.121 0.621 0.000
0.379 0.121 0.000
0.621 0.879 0.000
0.879 0.379 0.000
0.000 0.500 0.500
0.071 0.774 0.500
0.226 0.071 0.500
0.274 0.571 0.500
0.429 0.274 0.500
0.500 0.000 0.500
0.571 0.726 0.500
0.726 0.429 0.500
0.774 0.929 0.500
0.929 0.226 0.500
```

---

# 11
Er3In2BRu3: optimized geometry, PBE.

Values from the calculation:
VASP energy: -6.316 eV/atom
Formation energy: -0.353 eV/atom
DOS(E_F): 4.66 states/eV per cell
M_tot: 0.0 Bohr magnetons per cell

```
Er3In2BRu3
1.0
7.565 0.000 0.000
-3.782 6.551 0.000
0.000 0.000 3.453
Er In B Ru
3 2 1 3
direct
0.000 0.342 0.000
0.342 0.000 0.000
0.658 0.658 0.000
0.333 0.667 0.500
0.667 0.333 0.500
0.000 0.000 0.000
0.000 0.782 0.500
0.218 0.218 0.500
0.782 0.000 0.500
```

---

# 12
Er2InB2Ru5: optimized geometry, PBE.

Values from the calculation:
VASP energy: -7.585 eV/atom
Formation energy: -0.425 eV/atom
DOS(E_F): 20.49 states/eV per cell
M_tot: 0.0 Bohr magnetons per cell

```
Er2InB2Ru5
1.0
9.730 0.000 0.000
0.000 9.730 0.000
0.000 0.000 3.144
Er In B Ru
4 2 4 10
direct
0.177 0.323 0.000
0.323 0.823 0.000
0.677 0.177 0.000
0.823 0.677 0.000
0.000 0.000 0.000
0.500 0.500 0.000
0.122 0.622 0.000
0.378 0.122 0.000
0.622 0.878 0.000
0.878 0.378 0.000
0.000 0.500 0.500
0.070 0.773 0.500
0.227 0.070 0.500
0.273 0.570 0.500
0.430 0.273 0.500
0.500 0.000 0.500
0.570 0.727 0.500
0.727 0.430 0.500
0.773 0.930 0.500
0.930 0.227 0.500
```

---

# 13
Er2B6Ir9: optimized geometry, PBE.

Values from the calculation:
VASP energy: -8.156 eV/atom
Formation energy: -0.571 eV/atom
DOS(E_F): 3.34 states/eV per cell
M_tot: 0.0 Bohr magnetons per cell

```
Er2B6Ir9
1.0
5.641 0.000 0.000
-2.821 4.885 0.000
0.000 0.000 8.646
Er B Ir
2 6 9
direct
0.000 0.000 0.203
0.000 0.000 0.797
0.333 0.667 0.167
0.333 0.667 0.500
0.333 0.667 0.833
0.667 0.333 0.167
0.667 0.333 0.500
0.667 0.333 0.833
0.000 0.500 0.000
0.000 0.500 0.336
0.000 0.500 0.664
0.500 0.000 0.000
0.500 0.000 0.336
0.500 0.000 0.664
0.500 0.500 0.000
0.500 0.500 0.336
0.500 0.500 0.664
```

---

# 14
ErB3Ir5: optimized geometry, PBE.

Values from the calculation:
VASP energy: -7.923 eV/atom
Formation energy: -0.267 eV/atom
DOS(E_F): 10.31 states/eV per cell
M_tot: 0.0 Bohr magnetons per cell

```
ErB3Ir5
1.0
1.680 -4.828 0.000
1.680 4.828 0.000
0.000 0.000 14.951
Er B Ir
2 6 10
direct
0.198 0.802 0.750
0.802 0.198 0.250
0.059 0.941 0.250
0.361 0.639 0.539
0.361 0.639 0.961
0.639 0.361 0.039
0.639 0.361 0.461
0.941 0.059 0.750
0.000 0.000 0.000
0.000 0.000 0.500
0.257 0.743 0.087
0.257 0.743 0.413
0.473 0.527 0.660
0.473 0.527 0.840
0.527 0.473 0.160
0.527 0.473 0.340
0.743 0.257 0.587
0.743 0.257 0.913
```

---

# 15
ErB3Ir3: optimized geometry, PBE.

Values from the calculation:
VASP energy: -7.638 eV/atom
Offset from the most stable computed form: 39 meV/atom
Formation energy: -0.326 eV/atom
DOS(E_F): 13.35 states/eV per cell
M_tot: 0.0 Bohr magnetons per cell

```
ErB3Ir3
1.0
7.448 0.000 0.000
0.000 7.448 0.000
0.000 0.000 7.448
Er B Ir
4 12 12
direct
0.002 0.498 0.502
0.498 0.502 0.002
0.502 0.002 0.498
0.998 0.998 0.998
0.008 0.806 0.684
0.184 0.492 0.194
0.194 0.184 0.492
0.306 0.816 0.992
0.316 0.508 0.694
0.492 0.194 0.184
0.508 0.694 0.316
0.684 0.008 0.806
0.694 0.316 0.508
0.806 0.684 0.008
0.816 0.992 0.306
0.992 0.306 0.816
0.050 0.950 0.450
0.229 0.229 0.229
0.245 0.255 0.745
0.255 0.745 0.245
0.271 0.771 0.729
0.450 0.050 0.950
0.550 0.550 0.550
0.729 0.271 0.771
0.745 0.245 0.255
0.755 0.755 0.755
0.771 0.729 0.271
0.950 0.450 0.050
```

---

# 16
ErB2Ir3: optimized geometry, PBE.

Values from the calculation:
VASP energy: -8.104 eV/atom
Offset from the most stable computed form: 0 meV/atom
Formation energy: -0.687 eV/atom
DOS(E_F): 1.00 states/eV per cell
M_tot: 0.0 Bohr magnetons per cell

```
ErB2Ir3
1.0
5.455 0.000 0.000
-2.727 4.724 0.000
0.000 0.000 3.150
Er B Ir
1 2 3
direct
0.000 0.000 0.000
0.333 0.667 0.000
0.667 0.333 0.000
0.000 0.500 0.500
0.500 0.000 0.500
0.500 0.500 0.500
```

---

# 17
ErB2Ir3: optimized geometry, PBE.

Values from the calculation:
VASP energy: -7.802 eV/atom
Offset from the most stable computed form: 302 meV/atom
Formation energy: -0.385 eV/atom
DOS(E_F): 11.61 states/eV per cell
M_tot: 0.0 Bohr magnetons per cell

```
ErB2Ir3
1.0
8.866 0.000 0.000
-4.433 7.679 0.000
0.000 0.000 3.609
Er B Ir
3 6 9
direct
0.000 0.000 0.000
0.333 0.667 0.500
0.667 0.333 0.500
0.190 0.381 0.000
0.190 0.810 0.000
0.381 0.190 0.000
0.619 0.810 0.000
0.810 0.190 0.000
0.810 0.619 0.000
0.000 0.282 0.500
0.000 0.500 0.000
0.000 0.718 0.500
0.282 0.000 0.500
0.282 0.282 0.500
0.500 0.000 0.000
0.500 0.500 0.000
0.718 0.000 0.500
0.718 0.718 0.500
```

---

# 18
ErBIr: optimized geometry, PBE.

Values from the calculation:
VASP energy: -7.358 eV/atom
Offset from the most stable computed form: 68 meV/atom
Formation energy: -0.658 eV/atom
DOS(E_F): 8.43 states/eV per cell
M_tot: 0.0 Bohr magnetons per cell

```
ErBIr
1.0
11.513 0.000 0.000
0.000 3.385 0.000
-1.533 0.000 4.810
Er B Ir
4 4 4
direct
0.119 0.000 0.300
0.381 0.500 0.700
0.619 0.500 0.300
0.881 0.000 0.700
0.228 0.000 0.874
0.272 0.500 0.126
0.728 0.500 0.874
0.772 0.000 0.126
0.109 0.500 0.770
0.391 0.000 0.230
0.609 0.000 0.770
0.891 0.500 0.230
```

---

# 19
ErBIr: optimized geometry, PBE.

Values from the calculation:
VASP energy: -7.386 eV/atom
Offset from the most stable computed form: 41 meV/atom
Formation energy: -0.685 eV/atom
DOS(E_F): 2.04 states/eV per cell
M_tot: 0.0 Bohr magnetons per cell

```
ErBIr
1.0
3.689 0.000 0.000
-1.845 3.195 0.000
0.000 0.000 4.170
Er B Ir
1 1 1
direct
0.000 0.000 0.000
0.667 0.333 0.500
0.333 0.667 0.500
```

---

# 20
Er4B6Ir7: optimized geometry, PBE.

Values from the calculation:
VASP energy: -7.531 eV/atom
Formation energy: -0.452 eV/atom
DOS(E_F): 10.52 states/eV per cell
M_tot: 0.0 Bohr magnetons per cell

```
Er4B6Ir7
1.0
-3.962 3.962 3.962
3.962 -3.962 3.962
3.962 3.962 -3.962
Er B Ir
4 6 7
direct
0.000 0.000 0.500
0.000 0.500 0.000
0.500 0.000 0.000
0.500 0.500 0.500
0.000 0.359 0.359
0.000 0.641 0.641
0.359 0.000 0.359
0.359 0.359 0.000
0.641 0.000 0.641
0.641 0.641 0.000
0.000 0.000 0.000
0.250 0.500 0.750
0.250 0.750 0.500
0.500 0.250 0.750
0.500 0.750 0.250
0.750 0.250 0.500
0.750 0.500 0.250
```